(1)
# CsAg2Sb (PBE-GGA, relaxed)
data_CsAg2Sb
_chemical_formula_sum 'Cs3 Ag6 Sb3'
_symmetry_space_group_name_H-M 'R -3 m'
_symmetry_Int_Tables_number 166
_symmetry_space_group_name_Hall '-R 3 2"'
_cell_length_a 4.9483
_cell_length_b 4.9483
_cell_length_c 19.7784
_cell_angle_alpha 90.00
_cell_angle_beta 90.00
_cell_angle_gamma 120.00
loop_
_atom_site_label
_atom_site_fract_x
_atom_site_fract_y
_atom_site_fract_z
_atom_site_occupancy
Cs1 0.0000 0.0000 0.0000 1
Ag1 0.0000 0.0000 0.1832 1
Sb1 0.0000 0.0000 0.5000 1
# - ΔE_f (raw): -0.168 eV per atom

=====

(2)
# CsAgSb2 (PBE-GGA, relaxed)
data_CsAgSb2
_chemical_formula_sum 'Cs3 Ag3 Sb6'
_symmetry_space_group_name_H-M 'R -3 m'
_symmetry_Int_Tables_number 166
_symmetry_space_group_name_Hall '-R 3 2"'
_cell_length_a 3.6093
_cell_length_b 3.6093
_cell_length_c 32.3755
_cell_angle_alpha 90.00
_cell_angle_beta 90.00
_cell_angle_gamma 120.00
loop_
_atom_site_label
_atom_site_fract_x
_atom_site_fract_y
_atom_site_fract_z
_atom_site_occupancy
Cs1 0.0000 0.0000 0.0000 1
Ag1 0.0000 0.0000 0.5000 1
Sb1 0.0000 0.0000 0.2331 1
# - Excess energy over the best structure of this formula in the dataset: 204.1 meV per atom
# - ΔE_f (raw): 0.131 eV per atom